# Pm3YCd | the Alexandria database | PBE-GGA | optimized geometry
# DFT total energy, eV/atom: -4.44
# E_form, eV/atom: -0.12
# Fermi-level density of states, states/eV per cell: 26.407
data_Pm3YCd
_chemical_formula_sum 'Pm12 Y4 Cd4'
_space_group_name_H-M_alt 'C 1 2/m 1'
_space_group_IT_number 12
_cell_length_a 13.1700
_cell_length_b 3.7356
_cell_length_c 12.8733
_cell_angle_alpha 90.00
_cell_angle_beta 94.16
_cell_angle_gamma 90.00
loop_
_space_group_symop_operation_xyz
'x,y,z'
'-x,-y,-z'
'-x,y,-z'
'x,-y,z'
'x+1/2,y+1/2,z'
'-x+1/2,-y+1/2,-z'
'-x+1/2,y+1/2,-z'
'x+1/2,-y+1/2,z'
loop_
_atom_site_label
_atom_site_type_symbol
_atom_site_fract_x
_atom_site_fract_y
_atom_site_fract_z
_atom_site_occupancy
Pm1 Pm 0.0383 0.0000 0.1902 1
Pm2 Pm 0.1352 0.5000 0.9762 1
Pm3 Pm 0.1454 0.0000 0.4459 1
Y1 Y 0.2273 0.0000 0.7511 1
Cd1 Cd 0.0600 0.5000 0.6288 1